No. 1
Material: NaInS2
Method: DFT, PBE
State: relaxed

a = 5.6530 Å, b = 4.1620 Å, c = 8.3936 Å
α = 90.00°, β = 109.62°, γ = 90.00°
With the nearest neighbours (Å) after each atom.
Positions (direct):
1 Na 0.1887 0.2500 0.3771  4 S 2.83-2.95
2 Na 0.8113 0.7500 0.6229  4 S 2.83-2.95
3 In 0.4265 0.2500 0.8535  4 S 2.67-2.93
4 In 0.5735 0.7500 0.1465  4 S 2.67-2.93
5 S 0.0248 0.7500 0.0495  2 S 2.22
6 S 0.3210 0.7500 0.6423  2 In 2.67, 4 Na 2.83-2.95
7 S 0.6790 0.2500 0.3577  2 In 2.67, 4 Na 2.83-2.95
8 S 0.9752 0.2500 0.9505  2 S 2.22

Results
The value obtained for the density of states at the Fermi level is 1.0 states/eV/cell. Its uncorrected formation energy is -0.59 eV/atom. As for the uncorrected energy: -3.668 eV per atom.

No. 2
Material: V5Tc4Ir
Method: DFT, PBE
State: relaxed

a = 3.0244 Å, b = 3.0244 Å, c = 15.1792 Å
α = 90.00°, β = 90.00°, γ = 90.00°
With the nearest neighbours (Å) after each atom.
Positions (direct):
1 V 0.0000 0.0000 0.0000  8 Tc 2.62
2 V 0.0000 0.0000 0.1984  8 Tc 2.61-2.63
3 V 0.0000 0.0000 0.3931  4 Tc 2.57, 4 Ir 2.68
4 V 0.0000 0.0000 0.6069  4 Tc 2.57, 4 Ir 2.68
5 V 0.0000 0.0000 0.8016  8 Tc 2.61-2.63
6 Tc 0.5000 0.5000 0.0998  8 V 2.61-2.62
7 Tc 0.5000 0.5000 0.2997  8 V 2.57-2.63
8 Tc 0.5000 0.5000 0.7003  8 V 2.57-2.63
9 Tc 0.5000 0.5000 0.9002  8 V 2.61-2.62
10 Ir 0.5000 0.5000 0.5000  8 V 2.68

Results
The value obtained for the density of states at the Fermi level is 7.1 states/eV/cell. As for the uncorrected energy: -9.956 eV per atom. The calculation puts the formation energy from the elements at -0.364 eV per atom.